The following is a DFT calculation (PBE-GGA) of an optimized crystal structure of Ca5Hg4Ge.

Values from the calculation:
E_form	-0.545	eV/atom
size of the total moment	0.0	μB per cell
space group	P4/mmm
final energy	-2.13	eV per atom

POSCAR file:
```
Ca5Hg4Ge
1.0
-3.687 -0.656 0.137
0.670 -3.619 0.700
0.049 3.609 18.606
Ge Hg Ca
1 4 5
direct
0.000 0.000 0.000
0.000 0.000 0.804
0.000 0.000 0.600
0.000 0.000 0.400
0.000 0.000 0.196
0.500 0.500 0.500
0.500 0.500 0.093
0.500 0.500 0.907
0.500 0.500 0.704
0.500 0.500 0.296
```


The following is a DFT calculation (PBE-GGA) of an optimized crystal structure of CaHgGe.

Values from the calculation:
E_form	-0.310	eV/atom
size of the total moment	0.0	μB per cell
space group	Pm
final energy	-2.62	eV per atom

POSCAR file:
```
CaHgGe
1.0
7.610 0.545 0.002
-1.705 4.250 -0.001
0.000 0.001 4.379
Hg Ge Ca
2 2 2
direct
0.683 0.456 0.908
0.330 0.277 0.409
0.703 0.972 0.408
0.993 0.602 0.408
0.385 0.804 0.909
0.995 0.106 0.908
```


The following is a DFT calculation (PBE-GGA) of an optimized crystal structure of CaHgGe.

Values from the calculation:
E_form	-0.359	eV/atom
size of the total moment	0.0	μB per cell
space group	P-1
final energy	-2.67	eV per atom

POSCAR file:
```
CaHgGe
1.0
5.967 -1.171 -0.326
-3.580 4.905 0.537
-1.298 0.364 6.580
Hg Ge Ca
2 2 2
direct
0.325 0.685 0.741
0.675 0.315 0.259
0.089 0.908 0.429
0.911 0.092 0.571
0.377 0.612 0.224
0.623 0.388 0.776
```


The following is a DFT calculation (PBE-GGA) of an optimized crystal structure of CaHgGe.

Values from the calculation:
E_form	-0.397	eV/atom
size of the total moment	0.0	μB per cell
space group	P3m1
final energy	-2.70	eV per atom

POSCAR file:
```
CaHgGe
1.0
-0.120 -3.894 -1.069
1.476 -1.198 4.196
-4.515 0.369 -0.836
Ge Hg Ca
1 1 1
direct
0.224 0.333 0.667
0.116 0.000 0.000
0.661 0.667 0.333
```


The following is a DFT calculation (PBE-GGA) of an optimized crystal structure of Ca4Hg3Ge.

Values from the calculation:
E_form	-0.545	eV/atom
size of the total moment	0.0	μB per cell
space group	P4/mmm
final energy	-2.24	eV per atom

POSCAR file:
```
Ca4Hg3Ge
1.0
3.723 0.000 0.000
0.000 3.723 0.000
0.000 0.000 15.293
Ca Hg Ge
4 3 1
direct
0.000 0.000 0.372
0.000 0.000 0.883
0.000 0.000 0.117
0.000 0.000 0.628
0.500 0.500 0.753
0.500 0.500 0.247
0.500 0.500 0.500
0.500 0.500 0.000
```


The following is a DFT calculation (PBE-GGA) of an optimized crystal structure of CaHgGe.

Values from the calculation:
E_form	-0.411	eV/atom
size of the total moment	0.0	μB per cell
space group	P-1
final energy	-2.72	eV per atom

POSCAR file:
```
CaHgGe
1.0
-3.103 -2.384 5.952
-1.687 -3.470 -0.950
4.961 -2.516 0.421
Ge Ca Hg
2 2 2
direct
0.720 0.420 0.930
0.642 0.957 0.626
0.426 0.067 0.097
0.936 0.310 0.459
0.057 0.751 0.990
0.306 0.626 0.566
```